DFT (PBE with a Hubbard U) results for MnMoF5 after structural relaxation.

abc: 5.6365 5.6365 9.1129
angles: 120.25 120.25 72.79
Fractional coordinates of all 14 atoms:
Mn 0.7250 0.7750 0.2500
Mn 0.2750 0.2250 0.7500
Mo 0.0000 0.0000 0.0000
Mo 0.5000 0.5000 0.5000
F 0.8445 0.9257 0.1362
F 0.8676 0.2544 0.5423
F 0.4257 0.3445 0.6362
F 0.3705 0.1295 0.2500
F 0.2456 0.6324 0.9577
F 0.7544 0.3676 0.0423
F 0.6295 0.8705 0.7500
F 0.5743 0.6555 0.3638
F 0.1324 0.7456 0.4577
F 0.1555 0.0743 0.8638

Results
total energy = -6.014 eV/atom
space group = C2/c